# 1
8
Lattice="-2.666 -2.461 -4.273 2.692 -4.794 1.080 -3.970 2.153 4.914" Properties=species:S:1:pos:R:3 comment="AlCuAg2S4 (PBE, optimized geometry)" sg="I-4, No. 82" crystal_system=tetragonal formation_energy_uncorrected_kcal_per_mol_atoms=-8.39 pbc="T T T"
Cu -1.854 -4.324 -0.032
S -2.951 -2.967 1.443
S -2.103 -3.545 -2.165
S -2.768 0.835 3.353
S 0.383 -4.360 0.436
Ag -2.499 -3.830 3.764
Ag -1.867 -0.695 1.565
Al -5.178 -2.663 1.087

# 2
6
Lattice="-0.651 0.709 5.259 -2.706 4.241 1.811 -4.825 -0.651 2.208" Properties=species:S:1:pos:R:3 comment="KAl4Ru (PBE, optimized geometry)" sg="F-43m, No. 216" crystal_system=cubic e_form_ev_per_atom=0.31 pbc="T T T"
K -6.136 3.224 6.958
Al -5.494 1.278 4.583
Al -3.387 1.965 6.123
Al -4.424 3.748 4.382
Al -3.058 1.607 3.468
Ru 0.000 0.000 0.000

# 3
4
Lattice="3.285 0.000 0.000 1.643 2.845 0.000 1.643 0.948 10.668" Properties=species:S:1:pos:R:3 comment="Ho2PaIr (PBE, optimized geometry)" sg="R-3m, No. 166" crystal_system=trigonal e_form_ev_per_atom=0.07 pbc="T T T"
Pa 0.000 0.000 0.000
Ho 1.643 0.948 7.417
Ho 4.928 2.845 3.251
Ir 3.285 1.897 5.334

# 4
7
Lattice="4.310 0.000 -0.940 -0.225 4.442 -1.032 -0.019 0.036 10.260" Properties=species:S:1:pos:R:3 comment="Ac3Ge3Pt (PBE, optimized geometry)" sg="Imm2, No. 44" crystal_system=orthorhombic e_form_ev_per_atom=-0.84 pbc="T T T"
Ge 3.617 1.631 6.230
Ge 0.464 2.864 2.126
Ge 2.288 2.495 0.138
Ac 2.901 0.832 2.948
Ac 1.182 3.665 5.419
Ac 4.059 4.471 8.258
Pt 1.753 1.955 8.034

# 5
3
Lattice="5.857 -0.050 0.000 4.451 3.808 0.000 -5.154 -1.879 2.054" Properties=species:S:1:pos:R:3 comment="Mn2Au (PBE, optimized geometry)" sg="I4/mmm, No. 139" crystal_system=tetragonal e_form_ev_per_atom=0.19 pbc="T T T"
Mn 3.380 1.232 0.000
Mn 6.928 2.526 0.000
Au 0.000 0.000 0.000

# 6
7
Lattice="-0.429 2.354 3.626 0.174 -1.941 3.883 9.168 1.451 2.744" Properties=species:S:1:pos:R:3 comment="Ce2PmSi2Au2 (PBE, optimized geometry)" sg="R-3m, No. 166" crystal_system=trigonal formation_energy_uncorrected_kcal_per_mol_atoms=-14.85 pbc="T T T"
Pm 0.000 0.000 0.000
Ce 5.236 0.893 2.642
Ce 3.677 0.971 7.611
Au 1.782 0.553 5.057
Au 7.131 1.312 5.196
Si 6.891 1.427 7.695
Si 2.023 0.437 2.558

# 7
5
Lattice="-4.608 2.214 3.195 -3.711 -3.980 -2.594 1.267 -4.328 4.827" Properties=species:S:1:pos:R:3 comment="CsSrHgBr2 (PBE, optimized geometry)" sg="P4/mmm, No. 123" crystal_system=tetragonal formation_energy_uncorrected_kcal_per_mol_atoms=-28.95 pbc="T T T"
Hg 0.634 -2.164 2.414
Br -1.855 -1.990 -1.297
Br -2.304 1.107 1.597
Cs -3.526 -3.047 2.714
Sr 0.000 0.000 0.000

# 8
4
Lattice="0.000 3.798 3.798 3.798 0.000 3.798 3.798 3.798 0.000" Properties=species:S:1:pos:R:3 comment="ZrInI2 (PBE, optimized geometry)" e_above_lowest_polymorph_kj_per_mol_atoms=21.2 sg="Fm-3m, No. 225" crystal_system=cubic formation_energy_uncorrected_kcal_per_mol_atoms=1.17 pbc="T T T"
I 1.899 1.899 1.899
I 5.697 5.697 5.697
In 3.798 3.798 3.798
Zr 0.000 0.000 0.000

# 9
4
Lattice="0.000 3.829 3.829 3.829 0.000 3.829 3.829 3.829 0.000" Properties=species:S:1:pos:R:3 comment="CdInTe2 (PBE, optimized geometry)" sg="Fm-3m, No. 225" crystal_system=cubic formation_energy_uncorrected_kcal_per_mol_atoms=-0.40 pbc="T T T"
In 3.829 3.829 3.829
Te 1.914 1.914 1.914
Te 5.743 5.743 5.743
Cd 0.000 0.000 0.000

# 10
4
Lattice="-1.649 2.953 -1.607 -0.681 -1.618 -2.275 -5.972 -1.701 3.000" Properties=species:S:1:pos:R:3 comment="IrW2Br (PBE, optimized geometry)" e_above_lowest_polymorph_kj_per_mol_atoms=10.7 sg="Pmmm, No. 47" crystal_system=orthorhombic formation_energy_uncorrected_kcal_per_mol_atoms=13.86 pbc="T T T"
W -3.517 -1.358 1.112
W -5.781 -2.003 2.251
Br -2.487 0.647 -0.622
Ir -5.814 -1.013 -0.259

# 11
6
Lattice="4.527 0.000 0.000 0.000 4.527 0.000 -2.263 -2.263 6.426" Properties=species:S:1:pos:R:3 comment="LaTlN (PBE, optimized geometry)" e_above_lowest_polymorph_kj_per_mol_atoms=55.1 sg="I4/mmm, No. 139" crystal_system=tetragonal formation_energy_uncorrected_kcal_per_mol_atoms=-2.82 pbc="T T T"
N 0.000 2.263 0.000
N 2.263 0.000 0.000
La 2.263 2.263 4.960
La 0.000 0.000 1.466
Tl 0.000 0.000 4.845
Tl 2.263 2.263 1.581

# 12
4
Lattice="5.422 0.000 0.000 2.711 4.696 0.000 2.711 1.565 4.427" Properties=species:S:1:pos:R:3 comment="LaThGaSn (PBE, optimized geometry)" sg="F-43m, No. 216" crystal_system=cubic e_form_ev_per_atom=-0.44 pbc="T T T"
Sn 2.711 1.565 1.107
Th 0.000 0.000 0.000
La 5.422 3.131 2.214
Ga 8.133 4.696 3.320

DFT total energy readings, ordered: -4.120 -3.917 -6.809 -5.448 -7.019 -5.504 -2.492 -3.546 -2.501 -8.509 -5.328 -5.286 eV per atom
Density of states at the Fermi level readings, ordered: 6.35 2.56 4.18 4.58 1.43 8.57 2.77 2.98 3.36 4.02 4.97 5.50 states/eV/cell